The following is a DFT calculation (PBE) of a relaxed KBa2Zr crystal.

```
KBa2Zr
1.0
1.962 1.133 13.553
-1.962 1.133 13.553
0.000 -2.265 13.553
K Ba Zr
1 2 1
direct
0.000 0.000 0.000
0.236 0.236 0.236
0.764 0.764 0.764
0.500 0.500 0.500
```

As for the symmetry: R-3m, No. 166. The magnetic moment is 0.000 Bohr magnetons per cell. For the energy above the most stable polymorph in this dataset, the calculation gives 25 meV per atom. For the calculated formation energy, the calculation gives 482 meV/atom.

***

The following is a DFT calculation (PBE) of a relaxed CsK3Sr crystal.

```
CsK3Sr
1.0
7.601 0.000 0.000
0.000 7.601 0.000
0.000 0.000 7.601
Cs K Sr
1 3 1
direct
0.000 0.000 0.000
0.000 0.000 0.500
0.000 0.500 0.000
0.500 0.000 0.000
0.500 0.500 0.500
```

As for the symmetry: Pm-3m, No. 221. The magnetic moment is 0.000 Bohr magnetons per cell. For the energy above the most stable polymorph in this dataset, the calculation gives 131 meV per atom. For the calculated formation energy, the calculation gives 422 meV/atom.

***

The following is a DFT calculation (PBE) of a relaxed Zn2ReI crystal.

```
Zn2ReI
1.0
0.000 3.322 3.322
3.322 0.000 3.322
3.322 3.322 0.000
Zn Re I
2 1 1
direct
0.250 0.250 0.250
0.750 0.750 0.750
0.000 0.000 0.000
0.500 0.500 0.500
```

As for the symmetry: Fm-3m, No. 225. The magnetic moment is 0.000 Bohr magnetons per cell. For the energy relative to the elements, uncorrected, the calculation gives 1.257 eV/atom. For the energy above the most stable polymorph in this dataset, the calculation gives 16 meV per atom.

***

The following is a DFT calculation (PBE) of a relaxed Nd4Y5Ho crystal.

```
Nd4Y5Ho
1.0
3.618 0.000 0.000
0.000 3.618 0.000
0.000 0.000 25.408
Nd Y Ho
4 5 1
direct
0.000 0.000 0.101
0.000 0.000 0.302
0.000 0.000 0.698
0.000 0.000 0.899
0.500 0.500 0.000
0.500 0.500 0.202
0.500 0.500 0.403
0.500 0.500 0.597
0.500 0.500 0.798
0.000 0.000 0.500
```

As for the symmetry: P4/mmm, No. 123. The magnetic moment is 0.000 Bohr magnetons per cell. For the energy above the most stable polymorph in this dataset, the calculation gives 0 meV per atom. For the calculated formation energy, the calculation gives 19 meV/atom.